[1]
# SmSc2As3

A geometry-optimized SmSc2As3 structure (PBE-GGA, OQMD).

abc: 3.9891 3.9891 9.7354
angles: 90.00 90.00 120.00
Positions (direct):
Sm 0.0000 0.0000 0.0000
Sc 0.3333 0.6667 0.3418
Sc 0.6667 0.3333 0.6582
As 0.0000 0.0000 0.5000
As 0.3333 0.6667 0.8149
As 0.6667 0.3333 0.1851

Values from the calculation:
Spin magnetization, μB/atom: 0.00
Total DFT energy (no corrections), eV per atom: -6.625
Space group: P-3m1

[2]
# KYTe3Pd

A geometry-optimized KYTe3Pd structure (PBE-GGA, OQMD).

abc: 9.5883 4.3273 10.5290
angles: 90.00 112.70 90.00
Positions (direct):
K 0.2243 0.2500 0.2475
K 0.7757 0.7500 0.7525
Y 0.3145 0.7500 0.8531
Y 0.6855 0.2500 0.1469
Te 0.0915 0.2500 0.8636
Te 0.2005 0.7500 0.5234
Te 0.4631 0.7500 0.1674
Te 0.5369 0.2500 0.8326
Te 0.7995 0.2500 0.4766
Te 0.9085 0.7500 0.1364
Pd 0.1009 0.2500 0.6092
Pd 0.8991 0.7500 0.3908

Values from the calculation:
Spin magnetization, μB/atom: 0.00
Total DFT energy (no corrections), eV per atom: -4.651
Space group: P2_1/m